Zr2AsS, optimized geometry, DFT GGA-PBE; DFT total energy = -7.556 eV per atom; formation energy from raw total energies = -1088 meV/atom; SG = Fm-3m; E above lowest polymorph = 0.61 eV/f.u.
1.0
6.6131 0.0000 0.0000
0.0000 6.6131 0.0000
0.0000 0.0000 6.6131
Zr As S
8 4 4
direct
0.2500 0.2500 0.2500
0.2500 0.2500 0.7500
0.2500 0.7500 0.2500
0.2500 0.7500 0.7500
0.7500 0.2500 0.2500
0.7500 0.2500 0.7500
0.7500 0.7500 0.2500
0.7500 0.7500 0.7500
0.0000 0.0000 0.0000
0.0000 0.5000 0.5000
0.5000 0.0000 0.5000
0.5000 0.5000 0.0000
0.0000 0.0000 0.5000
0.0000 0.5000 0.0000
0.5000 0.0000 0.0000
0.5000 0.5000 0.5000